# LiMg2Zr (GGA-PBE, optimized geometry)
data_LiMg2Zr
_chemical_formula_sum 'Li1 Mg2 Zr1'
_symmetry_space_group_name_H-M 'P 4/m m m'
_symmetry_Int_Tables_number 123
_symmetry_space_group_name_Hall '-P 4 2'
_cell_length_a 5.040
_cell_length_b 5.040
_cell_length_c 3.446
_cell_angle_alpha 90.00
_cell_angle_beta 90.00
_cell_angle_gamma 90.00
loop_
_atom_site_label
_atom_site_type_symbol
_atom_site_fract_x
_atom_site_fract_y
_atom_site_fract_z
_atom_site_occupancy
Li1 Li 0.000 0.000 0.000 1
Mg1 Mg 0.000 0.500 0.500 1
Zr1 Zr 0.500 0.500 0.000 1
# Spin magnetization in μB per cell: 0.00
# Crystal system: tetragonal
# Uncorrected energy in Ry per atom: -0.243



# ThGaH6Ru2 (GGA-PBE, optimized geometry)
data_ThGaH6Ru2
_chemical_formula_sum 'Th3 Ga3 H18 Ru6'
_symmetry_space_group_name_H-M 'R -3 m'
_symmetry_Int_Tables_number 166
_symmetry_space_group_name_Hall '-R 3 2"'
_cell_length_a 4.4802
_cell_length_b 4.4802
_cell_length_c 16.2718
_cell_angle_alpha 90.00
_cell_angle_beta 90.00
_cell_angle_gamma 120.00
loop_
_atom_site_label
_atom_site_type_symbol
_atom_site_fract_x
_atom_site_fract_y
_atom_site_fract_z
_atom_site_occupancy
Th1 Th 0.0000 0.0000 0.0000 1
Ga1 Ga 0.0000 0.0000 0.5000 1
H1 H 0.0036 0.5018 0.9417 1
Ru1 Ru 0.0000 0.0000 0.2088 1
# Spin magnetization in μB per cell: 0.00
# Crystal system: trigonal
# Uncorrected energy in Ry per atom: -0.383



# CaMgCu2 (GGA-PBE, optimized geometry)
data_CaMgCu2
_chemical_formula_sum 'Ca4 Mg4 Cu8'
_symmetry_space_group_name_H-M 'P n m a'
_symmetry_Int_Tables_number 62
_cell_length_a 7.136
_cell_length_b 4.422
_cell_length_c 9.972
_cell_angle_alpha 90.00
_cell_angle_beta 90.00
_cell_angle_gamma 90.00
loop_
_symmetry_equiv_pos_as_xyz
'x,y,z'
'-x,-y,-z'
'-x+1/2,-y,z+1/2'
'x+1/2,y,-z+1/2'
'x+1/2,-y+1/2,-z+1/2'
'-x+1/2,y+1/2,z+1/2'
'-x,y+1/2,-z'
'x,-y+1/2,z'
loop_
_atom_site_label
_atom_site_type_symbol
_atom_site_fract_x
_atom_site_fract_y
_atom_site_fract_z
_atom_site_occupancy
Ca1 Ca 0.196 0.250 0.175 1
Mg1 Mg 0.045 0.750 0.396 1
Cu1 Cu 0.083 0.250 0.879 1
Cu2 Cu 0.210 0.750 0.965 1
# Spin magnetization in μB per cell: 0.00
# Crystal system: orthorhombic
# Uncorrected energy in Ry per atom: -0.225



# Ho4SbTe5 (GGA-PBE, optimized geometry)
data_Ho4SbTe5
_chemical_formula_sum 'Ho8 Sb2 Te10'
_symmetry_space_group_name_H-M 'P m m n'
_symmetry_Int_Tables_number 59
_cell_length_a 9.401
_cell_length_b 10.767
_cell_length_c 7.265
_cell_angle_alpha 90.00
_cell_angle_beta 90.00
_cell_angle_gamma 90.00
loop_
_symmetry_equiv_pos_as_xyz
'x,y,z'
'-x,-y,-z'
'-x+1/2,-y+1/2,z'
'x+1/2,y+1/2,-z'
'x+1/2,-y,-z'
'-x+1/2,y,z'
'-x,y+1/2,-z'
'x,-y+1/2,z'
loop_
_atom_site_label
_atom_site_type_symbol
_atom_site_fract_x
_atom_site_fract_y
_atom_site_fract_z
_atom_site_occupancy
Ho1 Ho 0.003 0.250 0.072 1
Ho2 Ho 0.250 0.002 0.498 1
Sb1 Sb 0.250 0.250 0.320 1
Te1 Te 0.000 0.055 0.764 1
Te2 Te 0.250 0.750 0.680 1
# Formation energy (no corrections) in meV/atom: -1055
# Spin magnetization in μB per cell: 0.00
# Crystal system: orthorhombic
# Uncorrected energy in Ry per atom: -0.358



# Cd2InPb (GGA-PBE, optimized geometry)
data_Cd2InPb
_chemical_formula_sum 'Cd2 In1 Pb1'
_symmetry_space_group_name_H-M 'P m m m'
_symmetry_Int_Tables_number 47
_cell_length_a 3.249
_cell_length_b 5.736
_cell_length_c 5.795
_cell_angle_alpha 90.00
_cell_angle_beta 90.00
_cell_angle_gamma 90.00
loop_
_symmetry_equiv_pos_as_xyz
'x,y,z'
'-x,-y,-z'
'-x,-y,z'
'x,y,-z'
'x,-y,-z'
'-x,y,z'
'-x,y,-z'
'x,-y,z'
loop_
_atom_site_label
_atom_site_type_symbol
_atom_site_fract_x
_atom_site_fract_y
_atom_site_fract_z
_atom_site_occupancy
Cd1 Cd 0.000 0.000 0.000 1
Cd2 Cd 0.500 0.500 0.000 1
In1 In 0.000 0.500 0.500 1
Pb1 Pb 0.500 0.000 0.500 1
# Excess energy over the best structure of this formula in the dataset in meV/atom: 38.9
# Spin magnetization in μB per cell: 0.00
# Crystal system: orthorhombic
# Uncorrected energy in Ry per atom: -0.147



# Zn2FeRe (GGA-PBE, optimized geometry)
data_Zn2FeRe
_chemical_formula_sum 'Zn2 Fe1 Re1'
_symmetry_space_group_name_H-M 'P 4/m m m'
_symmetry_Int_Tables_number 123
_symmetry_space_group_name_Hall '-P 4 2'
_cell_length_a 2.602
_cell_length_b 2.602
_cell_length_c 8.135
_cell_angle_alpha 90.00
_cell_angle_beta 90.00
_cell_angle_gamma 90.00
loop_
_atom_site_label
_atom_site_type_symbol
_atom_site_fract_x
_atom_site_fract_y
_atom_site_fract_z
_atom_site_occupancy
Zn1 Zn 0.000 0.000 0.236 1
Fe1 Fe 0.500 0.500 0.000 1
Re1 Re 0.500 0.500 0.500 1
# Excess energy over the best structure of this formula in the dataset in meV/atom: 150.3
# Spin magnetization in μB per cell: 2.55
# Crystal system: tetragonal
# Uncorrected energy in Ry per atom: -0.417



What is the uncorrected energy in the fifth record? -0.147 Ry per atom



The highest uncorrected energy belongs to which entry? Cd2InPb